A geometry-optimized BaSrGeAu structure, computed with PBE-GGA.

Output
The total magnetization comes out at 0.00 μB per cell. The calculation puts the total energy at -13.7 eV/cell.

Cell: 5.5929 5.5929 5.5929 Å, 60.00 60.00 60.00°
Closest atoms and distances in Å follow each position.
Positions (direct):
1 Ba 0.0000 0.0000 0.0000  4 Ge 3.42, 4 Au 3.42
2 Sr 0.5000 0.5000 0.5000  4 Ge 3.42, 4 Au 3.42
3 Ge 0.2500 0.2500 0.2500  4 Ba 3.42, 4 Sr 3.42
4 Au 0.7500 0.7500 0.7500  4 Ba 3.42, 4 Sr 3.42